A relaxed structure of KMnNO2, computed with PBE with a Hubbard U.

Output
Symmetry: P4/mmm
V in Å³/atom: 12.773
Total DFT energy (no corrections) in eV/cell: -28.6

Lattice parameters (Å, degrees): 4.003 4.003 3.986 90.00 90.00 90.00
Element x y z (fractional)
K: 0.000 0.000 0.000
Mn: 0.500 0.500 0.500
N: 0.500 0.500 0.000
O: 0.000 0.500 0.500
O: 0.500 0.000 0.500

=====

A relaxed structure of KMnNO2, computed with PBE with a Hubbard U.

Output
Symmetry: P4/mmm
V in Å³/atom: 19.418
Total DFT energy (no corrections) in eV/cell: -19.7

Lattice parameters (Å, degrees): 4.583 4.583 4.622 90.00 90.00 90.00
Element x y z (fractional)
K: 0.000 0.000 0.000
Mn: 0.500 0.500 0.500
N: 0.000 0.000 0.500
O: 0.000 0.500 0.000
O: 0.500 0.000 0.000